Record 1
VASP calculation (PBE) on a relaxed MnGaPb2S5 crystal.

Cell lengths 9.3289, 9.3289, 12.2823 Å; angles 90.00, 90.00, 157.17 degrees
Element x y z (fractional)
Mn1 0.2173 0.7827 0.5000
Mn2 0.7827 0.2173 0.0000
Ga1 0.4382 0.5618 0.9225
Ga2 0.5618 0.4382 0.4225
Pb1 0.1138 0.8862 0.7703
Pb2 0.1156 0.8844 0.1218
Pb3 0.8844 0.1156 0.6218
Pb4 0.8862 0.1138 0.2703
S1 0.0388 0.9612 0.5302
S2 0.2812 0.7188 0.1268
S3 0.3146 0.6854 0.8791
S4 0.3496 0.6504 0.4606
S5 0.4954 0.5046 0.7592
S6 0.5046 0.4954 0.2592
S7 0.6504 0.3496 0.9606
S8 0.6854 0.3146 0.3791
S9 0.7188 0.2812 0.6268
S10 0.9612 0.0388 0.0302

Summary:
magnetic moment = 4.0 μB per formula unit
energy = -5.0245 eV/atom
crystal system = orthorhombic


Record 2
VASP calculation (PBE) on a relaxed MnGaPb2Se5 crystal.

Cell lengths 9.7845, 9.7845, 12.7805 Å; angles 90.00, 90.00, 157.16 degrees
Element x y z (fractional)
Mn1 0.2190 0.7810 0.5000
Mn2 0.7810 0.2190 0.0000
Ga1 0.4352 0.5648 0.9191
Ga2 0.5648 0.4352 0.4191
Pb1 0.1104 0.8896 0.7622
Pb2 0.1152 0.8848 0.1136
Pb3 0.8848 0.1152 0.6136
Pb4 0.8896 0.1104 0.2622
Se1 0.0391 0.9609 0.5301
Se2 0.2796 0.7204 0.1306
Se3 0.3110 0.6890 0.8754
Se4 0.3507 0.6493 0.4535
Se5 0.4930 0.5070 0.7520
Se6 0.5070 0.4930 0.2520
Se7 0.6493 0.3507 0.9535
Se8 0.6890 0.3110 0.3754
Se9 0.7204 0.2796 0.6306
Se10 0.9609 0.0391 0.0301

Summary:
magnetic moment = 4.0 μB per formula unit
energy = -4.6198 eV/atom
crystal system = orthorhombic


Record 3
VASP calculation (PBE) on a relaxed MnGa2SnPb crystal.

Cell lengths 5.4084, 5.4084, 5.1942 Å; angles 90.00, 90.00, 90.00 degrees
Element x y z (fractional)
Mn1 0.0000 0.0000 0.0000
Ga1 0.0000 0.5000 0.5000
Ga2 0.5000 0.0000 0.5000
Sn1 0.5000 0.5000 0.0000
Pb1 0.0000 0.0000 0.5000

Summary:
magnetic moment = 3.6 μB per formula unit
energy of formation = 0.845 eV/atom
crystal system = tetragonal


Q: Look up the magnetic moment of the second one.
A: 4.0 μB per formula unit